DFT (PBE) results for Y3Mg3Cu2Pt after structural relaxation.

Geometry as CIF:
```
data_Y3Mg3Cu2Pt
_chemical_formula_sum 'Y3 Mg3 Cu2 Pt1'
_symmetry_space_group_name_H-M 'P 1'
_symmetry_Int_Tables_number 1
_symmetry_space_group_name_Hall 'P 1'
_cell_length_a 7.358
_cell_length_b 7.358
_cell_length_c 4.106
_cell_angle_alpha 90.00
_cell_angle_beta 90.00
_cell_angle_gamma 120.00
loop_
_atom_site_label
_atom_site_fract_x
_atom_site_fract_y
_atom_site_fract_z
_atom_site_occupancy
Y1 0.000 0.591 0.000 1
Y2 0.409 0.409 0.000 1
Y3 0.591 0.000 0.000 1
Mg1 0.000 0.244 0.500 1
Mg2 0.244 0.000 0.500 1
Mg3 0.756 0.756 0.500 1
Cu1 0.333 0.667 0.500 1
Cu2 0.667 0.333 0.500 1
Pt1 0.000 0.000 0.000 1
```

Computed properties:
**Crystal system**: hexagonal
**Total magnetization**: 0.012 μB per cell
**VASP energy**: -0.170 Ha/atom